VASP calculation (meta-GGA SCAN) on a PBEsol-optimized structure of Al2IrClO.

```
Al2IrClO
1.0
4.921 0.000 0.000
0.000 4.921 0.000
0.000 0.000 3.789
Al Ir Cl O
2 1 1 1
Direct
0.000 0.500 0.000 Al
0.500 0.000 0.000 Al
0.000 0.000 0.000 Ir
0.500 0.500 0.500 Cl
0.000 0.000 0.500 O
```

Calculated values
magnetization = 0.00 μB per formula unit
ΔE_f (raw) = -0.424 eV per atom